1.
BeAsIr2: relaxed, GGA-PBE.

The distance to the lowest polymorph of the same formula comes out at 129 meV/atom. As for the density of states at the Fermi level: 1.7 states/eV per cell. As for the space group: R-3m, No. 166. The magnetic moment is 0.000 μB per formula unit. As for the volume: 54 Å³/cell.

a = 7.656 Å, b = 7.656 Å, c = 7.656 Å
α = 21.83°, β = 21.83°, γ = 21.83°
Atoms (fractional coordinates):
Be  0.000  0.000  0.000
As  0.500  0.500  0.500
Ir  0.257  0.257  0.257
Ir  0.743  0.743  0.743



2.
Pr5HoAl2: relaxed, GGA-PBE.

As for the density of states at the Fermi level: 25.5 states/eV per cell. As for the space group: P6_3/mmc, No. 194. The magnetic moment is 0.000 μB per formula unit. As for the volume: 523 Å³/cell. The value obtained for the total energy is -72.421 eV per cell.

a = 5.468 Å, b = 5.468 Å, c = 20.188 Å
α = 90.00°, β = 90.00°, γ = 120.00°
Atoms (fractional coordinates):
Pr  0.000  0.000  0.155
Pr  0.000  0.000  0.345
Pr  0.000  0.000  0.655
Pr  0.000  0.000  0.845
Pr  0.333  0.667  0.055
Pr  0.333  0.667  0.250
Pr  0.333  0.667  0.445
Pr  0.667  0.333  0.555
Pr  0.667  0.333  0.750
Pr  0.667  0.333  0.945
Ho  0.333  0.667  0.750
Ho  0.667  0.333  0.250
Al  0.333  0.667  0.602
Al  0.333  0.667  0.898
Al  0.667  0.333  0.102
Al  0.667  0.333  0.398



3.
Ca2MgBe: relaxed, GGA-PBE.

The distance to the lowest polymorph of the same formula comes out at 31 meV/atom. As for the density of states at the Fermi level: 2.5 states/eV per cell. As for the space group: Imm2, No. 44. The magnetic moment is 0.000 μB per formula unit. As for the volume: 105 Å³/cell.

a = 6.402 Å, b = 6.402 Å, c = 6.402 Å
α = 147.98°, β = 130.15°, γ = 60.49°
Atoms (fractional coordinates):
Ca  0.000  0.000  0.000
Ca  0.695  0.195  0.500
Mg  0.295  0.795  0.500
Be  0.473  0.473  0.000



4.
Nd2HoNi2: relaxed, GGA-PBE.

The distance to the lowest polymorph of the same formula comes out at 36 meV/atom. As for the density of states at the Fermi level: 9.0 states/eV per cell. As for the space group: P4/mbm, No. 127. The magnetic moment is 0.000 μB per formula unit. As for the volume: 232 Å³/cell.

a = 7.673 Å, b = 7.673 Å, c = 3.947 Å
α = 90.00°, β = 90.00°, γ = 90.00°
Atoms (fractional coordinates):
Nd  0.168  0.332  0.000
Nd  0.332  0.832  0.000
Nd  0.668  0.168  0.000
Nd  0.832  0.668  0.000
Ho  0.000  0.000  0.500
Ho  0.500  0.500  0.500
Ni  0.121  0.621  0.500
Ni  0.379  0.121  0.500
Ni  0.621  0.879  0.500
Ni  0.879  0.379  0.500



5.
TiCo3H: relaxed, GGA-PBE.

The distance to the lowest polymorph of the same formula comes out at 498 meV/atom. As for the density of states at the Fermi level: 8.6 states/eV per cell. As for the space group: P6_3/mmc, No. 194. The magnetic moment is 2.000 μB per formula unit. As for the volume: 103 Å³/cell.

a = 4.049 Å, b = 4.049 Å, c = 7.265 Å
α = 90.00°, β = 90.00°, γ = 120.00°
Atoms (fractional coordinates):
Ti  0.333  0.667  0.250
Ti  0.667  0.333  0.750
Co  0.000  0.000  0.250
Co  0.000  0.000  0.750
Co  0.333  0.667  0.579
Co  0.333  0.667  0.921
Co  0.667  0.333  0.079
Co  0.667  0.333  0.421
H  0.000  0.000  0.000
H  0.000  0.000  0.500



6.
AcNpPdSe3: relaxed, GGA-PBE.

The value obtained for the formation energy from raw total energies is -1.31 eV/atom. As for the density of states at the Fermi level: 21.6 states/eV per cell. As for the space group: P2_1/m, No. 11. The magnetic moment is 3.967 μB per formula unit. As for the volume: 313 Å³/cell.

a = 8.362 Å, b = 4.188 Å, c = 9.199 Å
α = 90.00°, β = 103.87°, γ = 90.00°
Atoms (fractional coordinates):
Ac  0.182  0.250  0.257
Ac  0.818  0.750  0.743
Np  0.327  0.750  0.832
Np  0.673  0.250  0.168
Pd  0.090  0.250  0.596
Pd  0.910  0.750  0.404
Se  0.100  0.250  0.878
Se  0.253  0.750  0.517
Se  0.427  0.750  0.161
Se  0.573  0.250  0.839
Se  0.747  0.250  0.483
Se  0.900  0.750  0.122